Entry from the Alexandria database: a geometry-optimized Rb2YMoI6 structure (PBE-GGA). Values from VASP.

The density of states at the Fermi level comes out at 0.587 states/eV per atom. The value obtained for the total magnetization is 1.00 μB per formula unit. The calculation puts the raw total energy at -3.643 eV/atom. The symmetry is No. 139. Its formation energy (no corrections) is -0.790 eV/atom.

```
&SYSTEM
  ibrav = 0, nat = 10, ntyp = 4
/
ATOMIC_SPECIES
Rb 85.47 Rb.upf
Y 88.91 Y.upf
Mo 95.94 Mo.upf
I 126.90 I.upf
CELL_PARAMETERS angstrom
-4.1349 4.1349 5.8440
4.1349 -4.1349 5.8440
4.1349 4.1349 -5.8440
ATOMIC_POSITIONS angstrom
Rb 4.1349 0.0000 2.9220
Rb 0.0000 4.1349 2.9220
Y 0.0000 0.0000 0.0000
Mo 0.0000 0.0000 5.8440
I 0.0000 0.0000 3.0242
I 2.1397 2.1397 0.0000
I 1.9953 -1.9953 5.8440
I -1.9953 1.9953 5.8440
I 0.0000 0.0000 8.6639
I 1.9953 1.9953 5.8440
```